# 1
Compound: CsTlBr3
Source: Alexandria via LeMat-Bulk
Functional: PBE-GGA
Structure: optimized geometry

The calculation puts the uncorrected formation energy at -1049 meV per atom.

It has space group C2/m (No. 12), with a = 18.218 Å, b = 4.826 Å, c = 10.242 Å, α = 90.00°, β = 101.91° and γ = 90.00°. The distinct sites, in fractional coordinates, are Cs at (0.107, 0.000, 0.361), Tl at (0.192, 0.500, 0.825), Br at (0.058, 0.500, 0.619), Br at (0.153, 0.000, 0.010) and Br at (0.249, 0.500, 0.326).

# 2
Compound: Tb3CeEr7
Source: Alexandria via LeMat-Bulk
Functional: PBE-GGA
Structure: optimized geometry

As for the energy of formation: 204 meV/atom.

It has space group P3m1 (No. 156), with a = 6.9728 Å, b = 6.9728 Å, c = 8.5567 Å, α = 90.00°, β = 90.00° and γ = 120.00°. The distinct sites, in fractional coordinates, are Tb at (0.1680, 0.3360, 0.0000), Ce at (0.3333, 0.6667, 0.3342), Er at (0.0000, 0.0000, 0.6640), Er at (0.0041, 0.5020, 0.6617) and Er at (0.3324, 0.1662, 0.3340).

# 3
Compound: AcAl2GeAu
Source: Alexandria via LeMat-Bulk
Functional: PBE-GGA
Structure: optimized geometry

As for the energy of formation: -551 meV/atom.

It has space group Imm2 (No. 44), with a = 4.472 Å, b = 4.533 Å, c = 10.857 Å, α = 90.00°, β = 90.00° and γ = 90.00°. The distinct sites, in fractional coordinates, are Ac at (0.000, 0.000, 0.000), Al at (0.000, 0.000, 0.373), Al at (0.000, 0.500, 0.244), Ge at (0.000, 0.000, 0.608) and Au at (0.000, 0.500, 0.757).

# 4
Compound: Cs2InSn2Sb2
Source: Alexandria via LeMat-Bulk
Functional: PBE-GGA
Structure: optimized geometry

The calculation puts the uncorrected formation energy at -206 meV per atom.

It has space group C2/m (No. 12), with a = 15.473 Å, b = 4.556 Å, c = 8.996 Å, α = 90.00°, β = 113.95° and γ = 90.00°. The distinct sites, in fractional coordinates, are Cs at (0.097, 0.000, 0.391), In at (0.000, 0.500, 0.000), Sn at (0.222, 0.500, 0.150) and Sb at (0.141, 0.500, 0.793).